Entry 1:
Mg2Cd2In | GGA-PBE | optimized geometry

Properties
Energy of formation, meV per atom: -38
Total magnetization, μB per atom: 0.0000
Raw total energy, eV/atom: -1.589
Excess energy over the best structure of this formula in the dataset, meV/atom: 0.0
Calculated density, g cm⁻³: 5.491

Lattice parameters (Å, degrees): 8.642 8.642 3.144 90.00 90.00 90.00
Space group P4/mbm (No. 127)
Unique sites:
Mg 0.175 0.325 0.000
Cd 0.123 0.623 0.500
In 0.000 0.000 0.500


Entry 2:
Mg5Cd4In4 | GGA-PBE | optimized geometry

Properties
Energy of formation, meV per atom: -44
Total magnetization, μB per atom: 0.0000
Raw total energy, eV/atom: -1.782
Calculated density, g cm⁻³: 5.610

Lattice parameters (Å, degrees): 11.522 11.522 4.594 90.00 90.00 90.00
Space group I4/m (No. 87)
Unique sites:
Mg 0.000 0.000 0.000
Mg 0.048 0.190 0.500
Cd 0.143 0.778 0.000
In 0.088 0.382 0.000


Entry 3:
Mg2CdIn | GGA-PBE | optimized geometry

Properties
Energy of formation, meV per atom: -97
Total magnetization, μB per atom: 0.0000
Raw total energy, eV/atom: -1.807
Calculated density, g cm⁻³: 5.104

Lattice parameters (Å, degrees): 4.542 4.542 4.350 90.00 90.00 90.00
Space group P4/mmm (No. 123)
Unique sites:
Mg 0.000 0.500 0.000
Cd 0.000 0.000 0.500
In 0.500 0.500 0.500


Entry 4:
Mg2Cd2In | GGA-PBE | optimized geometry

Properties
Energy of formation, meV per atom: -7
Total magnetization, μB per atom: 0.0000
Raw total energy, eV/atom: -1.558
Excess energy over the best structure of this formula in the dataset, meV/atom: 30.9
Calculated density, g cm⁻³: 5.395

Lattice parameters (Å, degrees): 8.459 8.459 3.340 90.00 90.00 90.00
Space group P4/mbm (No. 127)
Unique sites:
Mg 0.130 0.370 0.000
Cd 0.168 0.668 0.500
In 0.000 0.000 0.000